Compound: Na3NpSn2S6
Source: Alexandria via LeMat-Bulk
Functional: PBE
Structure: relaxed

Geometry as POSCAR:
```
Na3NpSn2S6
1.0
-4.713 -4.479 2.910
0.359 0.693 -7.080
5.869 -3.518 1.158
Na Np Sn S
3 1 2 6
Direct
0.172 0.828 0.500
0.828 0.172 0.500
0.500 0.500 0.500
0.000 0.000 0.000
0.334 0.666 0.000
0.666 0.334 0.000
0.924 0.615 0.772
0.767 0.767 0.223
0.076 0.385 0.228
0.615 0.924 0.772
0.233 0.233 0.777
0.385 0.076 0.228
```

E_form (uncorrected) ... -0.969 eV/atom
Space-group type ... C2/m (12)
Calculated total energy ... -5.11 eV per atom

Compound: Na3Np3SnS8
Source: Alexandria via LeMat-Bulk
Functional: PBE
Structure: relaxed

Geometry as POSCAR:
```
Na3Np3SnS8
1.0
8.097 0.000 0.000
-4.049 7.014 -0.024
0.000 -4.654 6.567
Na Np Sn S
3 3 1 8
Direct
0.000 0.000 0.000
0.000 0.500 0.000
0.500 0.500 0.000
0.500 0.000 0.500
0.500 0.500 0.500
0.000 0.500 0.500
0.000 0.000 0.500
0.258 0.515 0.273
0.742 0.485 0.727
0.753 0.505 0.280
0.247 0.495 0.720
0.753 0.027 0.280
0.247 0.973 0.720
0.275 0.027 0.280
0.725 0.973 0.720
```

E_form (uncorrected) ... -1.188 eV/atom
Space-group type ... R-3m (166)
Calculated total energy ... -6.51 eV per atom

Compound: Na3Np2SnS6
Source: Alexandria via LeMat-Bulk
Functional: PBE
Structure: relaxed

Geometry as POSCAR:
```
Na3Np2SnS6
1.0
-3.268 -1.407 -1.912
-1.213 -5.394 6.042
-2.970 7.684 3.690
Na Np Sn S
3 2 1 6
Direct
0.500 0.500 0.000
0.839 0.164 0.678
0.161 0.836 0.322
0.833 0.665 0.666
0.167 0.335 0.334
0.500 0.000 0.000
0.332 0.890 0.663
0.673 0.568 0.347
0.668 0.110 0.337
0.011 0.256 0.023
0.989 0.744 0.977
0.327 0.432 0.653
```

E_form (uncorrected) ... -1.182 eV/atom
Space-group type ... C2/m (12)
Calculated total energy ... -6.07 eV per atom

Compound: Na3SrNp2S6
Source: Alexandria via LeMat-Bulk
Functional: PBE
Structure: relaxed

Geometry as POSCAR:
```
Na3SrNp2S6
1.0
4.080 0.000 0.000
0.000 8.224 0.335
-2.040 -2.335 8.559
Na Sr Np S
3 1 2 6
Direct
0.500 0.500 0.000
0.837 0.168 0.674
0.163 0.832 0.326
0.500 0.000 0.000
0.833 0.666 0.667
0.167 0.334 0.333
0.329 0.888 0.658
0.675 0.564 0.349
0.671 0.112 0.342
0.011 0.261 0.022
0.989 0.739 0.978
0.325 0.436 0.651
```

E_form (uncorrected) ... -1.462 eV/atom
Space-group type ... C2/m (12)
Calculated total energy ... -6.15 eV per atom

Compound: Na2Sr3NpS6
Source: Alexandria via LeMat-Bulk
Functional: PBE
Structure: relaxed

Geometry as POSCAR:
```
Na2Sr3NpS6
1.0
7.249 0.006 0.002
-3.618 6.281 0.002
-1.210 -2.094 6.715
Na Sr Np S
2 3 1 6
Direct
0.335 0.665 0.000
0.665 0.335 0.000
0.172 0.828 0.500
0.828 0.172 0.500
0.500 0.500 0.500
0.000 0.000 0.000
0.921 0.610 0.764
0.771 0.771 0.235
0.079 0.390 0.236
0.610 0.921 0.764
0.229 0.229 0.765
0.390 0.079 0.236
```

E_form (uncorrected) ... -1.694 eV/atom
Space-group type ... C2/m (12)
Calculated total energy ... -5.48 eV per atom

Compound: NaSr2NpS4
Source: Alexandria via LeMat-Bulk
Functional: PBE
Structure: relaxed

Geometry as POSCAR:
```
NaSr2NpS4
1.0
-1.922 0.384 3.690
-5.986 -2.797 -2.828
4.022 -5.306 2.648
Na Sr Np S
1 2 1 4
Direct
0.500 0.500 0.000
0.500 0.000 0.500
0.000 0.500 0.500
0.000 0.000 0.000
0.500 0.235 0.231
0.500 0.765 0.769
0.000 0.239 0.761
0.000 0.761 0.239
```

E_form (uncorrected) ... -1.686 eV/atom
Space-group type ... P2/m (10)
Calculated total energy ... -5.95 eV per atom

Compound: Na3Np3TaS8
Source: Alexandria via LeMat-Bulk
Functional: PBE
Structure: relaxed

Geometry as POSCAR:
```
Na3Np3TaS8
1.0
-7.701 -0.362 0.857
4.629 -0.739 6.179
-0.728 7.359 -3.443
Na Np Ta S
3 3 1 8
Direct
0.000 0.000 0.000
0.000 0.500 0.000
0.500 0.500 0.000
0.500 0.000 0.500
0.500 0.500 0.500
0.000 0.500 0.500
0.000 0.000 0.500
0.256 0.512 0.268
0.744 0.488 0.732
0.774 0.548 0.286
0.226 0.452 0.714
0.774 0.011 0.286
0.226 0.989 0.714
0.237 0.011 0.286
0.763 0.989 0.714
```

E_form (uncorrected) ... -1.270 eV/atom
Space-group type ... R-3m (166)
Calculated total energy ... -7.11 eV per atom

Compound: Na3Tb2NpS6
Source: Alexandria via LeMat-Bulk
Functional: PBE
Structure: relaxed

Geometry as POSCAR:
```
Na3Tb2NpS6
1.0
6.968 -0.001 0.002
-3.483 6.035 0.002
-1.161 -2.010 6.671
Na Tb Np S
3 2 1 6
Direct
0.167 0.833 0.500
0.833 0.167 0.500
0.500 0.500 0.500
0.333 0.667 0.000
0.667 0.333 0.000
0.000 0.000 0.000
0.924 0.589 0.772
0.741 0.741 0.228
0.076 0.411 0.228
0.589 0.924 0.772
0.259 0.259 0.772
0.411 0.076 0.228
```

E_form (uncorrected) ... -1.665 eV/atom
Space-group type ... C2/m (12)
Calculated total energy ... -5.91 eV per atom

Copy entry 6 word for word.
Compound: NaSr2NpS4
Source: Alexandria via LeMat-Bulk
Functional: PBE
Structure: relaxed

Geometry as POSCAR:
```
NaSr2NpS4
1.0
-1.922 0.384 3.690
-5.986 -2.797 -2.828
4.022 -5.306 2.648
Na Sr Np S
1 2 1 4
Direct
0.500 0.500 0.000
0.500 0.000 0.500
0.000 0.500 0.500
0.000 0.000 0.000
0.500 0.235 0.231
0.500 0.765 0.769
0.000 0.239 0.761
0.000 0.761 0.239
```

E_form (uncorrected) ... -1.686 eV/atom
Space-group type ... P2/m (10)
Calculated total energy ... -5.95 eV per atom

What is the E_form (uncorrected) in the third record?
-1.182 eV/atom